The following is a DFT calculation (GGA-PBE) of a relaxed KCd2InCo crystal.

Geometry as CIF:
```
data_KCd2InCo
_space_group_name_H-M_alt 'P 4/m m m'
_space_group_IT_number 123
_space_group_name_Hall '-P 4 2'
_cell_length_a 5.150
_cell_length_b 5.150
_cell_length_c 4.968
_cell_angle_alpha 90.00
_cell_angle_beta 90.00
_cell_angle_gamma 90.00
loop_
_atom_site_label
_atom_site_fract_x
_atom_site_fract_y
_atom_site_fract_z
_atom_site_occupancy
K1 0.000 0.000 0.000 1
Cd1 0.000 0.500 0.500 1
In1 0.500 0.500 0.000 1
Co1 0.500 0.500 0.500 1
```

Computed properties:
For the final energy, the calculation gives -0.093 Ha/atom.